No. 1
Entry from OQMD via LeMat-Bulk: an optimized crystal structure of Tl2Au7 (PBE-GGA).

CIF file:
```
data_Tl2Au7
_chemical_formula_sum 'Tl2 Au7'
_cell_length_a 3.0121
_cell_length_b 3.0121
_cell_length_c 32.5167
_cell_angle_alpha 90.00
_cell_angle_beta 90.00
_cell_angle_gamma 120.00
_symmetry_space_group_name_H-M 'P -3 m 1'
_symmetry_Int_Tables_number 164
_symmetry_space_group_name_Hall '-P 3 2"'
loop_
_atom_site_label
_atom_site_fract_x
_atom_site_fract_y
_atom_site_fract_z
Tl1 0.3333 0.6667 0.2022
Au1 0.0000 0.0000 0.2852
Au2 0.0000 0.0000 0.5000
Au3 0.3333 0.6667 0.4290
Au4 0.3333 0.6667 0.6421
```

No. 2
Entry from OQMD via LeMat-Bulk: an optimized crystal structure of PuMgGe (PBE-GGA).

CIF file:
```
data_PuMgGe
_chemical_formula_sum 'Pu4 Mg4 Ge4'
_cell_length_a 6.847
_cell_length_b 6.847
_cell_length_c 6.847
_cell_angle_alpha 90.00
_cell_angle_beta 90.00
_cell_angle_gamma 90.00
_symmetry_space_group_name_H-M 'F -4 3 m'
_symmetry_Int_Tables_number 216
_symmetry_space_group_name_Hall 'F -4 2 3'
loop_
_atom_site_label
_atom_site_fract_x
_atom_site_fract_y
_atom_site_fract_z
Pu1 0.000 0.000 0.000
Mg1 0.250 0.250 0.750
Ge1 0.250 0.250 0.250
```

No. 3
Entry from OQMD via LeMat-Bulk: an optimized crystal structure of Sm3Y2Er (PBE-GGA).

Results
E_form: -0.004 eV per atom

CIF file:
```
data_Sm3Y2Er
_chemical_formula_sum 'Sm12 Y8 Er4'
_cell_length_a 10.808
_cell_length_b 6.236
_cell_length_c 11.597
_cell_angle_alpha 90.00
_cell_angle_beta 90.00
_cell_angle_gamma 90.00
_symmetry_space_group_name_H-M 'C m c m'
_symmetry_Int_Tables_number 63
_symmetry_space_group_name_Hall '-C 2c 2'
loop_
_atom_site_label
_atom_site_fract_x
_atom_site_fract_y
_atom_site_fract_z
Sm1 0.000 0.000 0.000
Sm2 0.165 0.500 0.000
Y1 0.167 0.166 0.250
Er1 0.000 0.334 0.750
```

No. 4
Entry from OQMD via LeMat-Bulk: an optimized crystal structure of Y2SiAg2Ge (PBE-GGA).

Results
Energy relative to the lowest polymorph listed for this composition: 166 meV/atom

CIF file:
```
data_Y2SiAg2Ge
_chemical_formula_sum 'Y8 Si4 Ag8 Ge4'
_cell_length_a 11.253
_cell_length_b 4.594
_cell_length_c 11.254
_cell_angle_alpha 90.00
_cell_angle_beta 109.49
_cell_angle_gamma 90.00
_symmetry_space_group_name_H-M 'P 1 m 1'
_symmetry_Int_Tables_number 6
_symmetry_space_group_name_Hall 'P -2y'
loop_
_atom_site_label
_atom_site_fract_x
_atom_site_fract_y
_atom_site_fract_z
Y1 0.000 0.000 0.000
Y2 0.122 0.500 0.372
Y3 0.249 0.000 0.747
Y4 0.376 0.500 0.125
Y5 0.501 0.000 0.502
Y6 0.625 0.500 0.875
Y7 0.747 0.000 0.250
Y8 0.875 0.500 0.627
Si1 0.500 0.000 0.000
Si2 0.750 0.000 0.751
Si3 0.874 0.500 0.125
Si4 0.999 0.000 0.499
Ag1 0.121 0.500 0.621
Ag2 0.253 0.000 0.999
Ag3 0.374 0.500 0.375
Ag4 0.502 0.000 0.753
Ag5 0.625 0.500 0.122
Ag6 0.754 0.000 0.503
Ag7 0.872 0.500 0.876
Ag8 0.995 0.000 0.249
Ge1 0.125 0.500 0.874
Ge2 0.249 0.000 0.249
Ge3 0.374 0.500 0.625
Ge4 0.625 0.500 0.375
```

No. 5
Entry from OQMD via LeMat-Bulk: an optimized crystal structure of Y8Ni (PBE-GGA).

Results
E_form: -0.090 eV per atom

CIF file:
```
data_Y8Ni
_chemical_formula_sum 'Y8 Ni1'
_cell_length_a 9.1578
_cell_length_b 9.1578
_cell_length_c 3.6590
_cell_angle_alpha 90.00
_cell_angle_beta 90.00
_cell_angle_gamma 120.00
_symmetry_space_group_name_H-M 'P -6 2 m'
_symmetry_Int_Tables_number 189
_symmetry_space_group_name_Hall 'P -6 -2'
loop_
_atom_site_label
_atom_site_fract_x
_atom_site_fract_y
_atom_site_fract_z
Y1 0.0000 0.2380 0.0000
Y2 0.0000 0.6121 0.5000
Y3 0.3333 0.6667 0.0000
Ni1 0.0000 0.0000 0.5000
```

No. 6
Entry from OQMD via LeMat-Bulk: an optimized crystal structure of NaTbZnS3 (PBE-GGA).

Results
Energy relative to the lowest polymorph listed for this composition: 101 meV/atom

CIF file:
```
data_NaTbZnS3
_chemical_formula_sum 'Na4 Tb4 Zn4 S12'
_cell_length_a 17.841
_cell_length_b 3.905
_cell_length_c 7.853
_cell_angle_alpha 90.00
_cell_angle_beta 104.35
_cell_angle_gamma 90.00
_symmetry_space_group_name_H-M 'C 1 2/m 1'
_symmetry_Int_Tables_number 12
_symmetry_space_group_name_Hall '-C 2y'
loop_
_atom_site_label
_atom_site_fract_x
_atom_site_fract_y
_atom_site_fract_z
Na1 0.126 0.000 0.076
Tb1 0.173 0.000 0.590
Zn1 0.030 0.500 0.731
S1 0.000 0.000 0.500
S2 0.000 0.500 0.000
S3 0.165 0.500 0.823
S4 0.172 0.500 0.350
```

No. 7
Entry from OQMD via LeMat-Bulk: an optimized crystal structure of Ta8C3S2N3 (PBE-GGA).

CIF file:
```
data_Ta8C3S2N3
_chemical_formula_sum 'Ta8 C3 S2 N3'
_cell_length_a 3.1683
_cell_length_b 3.1683
_cell_length_c 22.3382
_cell_angle_alpha 90.00
_cell_angle_beta 90.00
_cell_angle_gamma 120.00
_symmetry_space_group_name_H-M 'P -3 m 1'
_symmetry_Int_Tables_number 164
_symmetry_space_group_name_Hall '-P 3 2"'
loop_
_atom_site_label
_atom_site_fract_x
_atom_site_fract_y
_atom_site_fract_z
Ta1 0.0000 0.0000 0.1682
Ta2 0.0000 0.0000 0.3305
Ta3 0.3333 0.6667 0.0595
Ta4 0.3333 0.6667 0.4455
C1 0.0000 0.0000 0.0000
C2 0.3333 0.6667 0.8842
S1 0.3333 0.6667 0.2531
N1 0.0000 0.0000 0.5000
N2 0.3333 0.6667 0.6108
```

No. 8
Entry from OQMD via LeMat-Bulk: an optimized crystal structure of GdYZn2 (PBE-GGA).

Results
E_form: -0.349 eV per atom

CIF file:
```
data_GdYZn2
_chemical_formula_sum 'Gd1 Y1 Zn2'
_cell_length_a 5.056
_cell_length_b 5.056
_cell_length_c 3.593
_cell_angle_alpha 90.00
_cell_angle_beta 90.00
_cell_angle_gamma 90.00
_symmetry_space_group_name_H-M 'P 4/m m m'
_symmetry_Int_Tables_number 123
_symmetry_space_group_name_Hall '-P 4 2'
loop_
_atom_site_label
_atom_site_fract_x
_atom_site_fract_y
_atom_site_fract_z
Gd1 0.000 0.000 0.000
Y1 0.500 0.500 0.000
Zn1 0.000 0.500 0.500
```

No. 9
Entry from OQMD via LeMat-Bulk: an optimized crystal structure of PaTlCd (PBE-GGA).

Results
Energy relative to the lowest polymorph listed for this composition: 137 meV/atom

CIF file:
```
data_PaTlCd
_chemical_formula_sum 'Pa4 Tl4 Cd4'
_cell_length_a 7.184
_cell_length_b 7.184
_cell_length_c 7.184
_cell_angle_alpha 90.00
_cell_angle_beta 90.00
_cell_angle_gamma 90.00
_symmetry_space_group_name_H-M 'F -4 3 m'
_symmetry_Int_Tables_number 216
_symmetry_space_group_name_Hall 'F -4 2 3'
loop_
_atom_site_label
_atom_site_fract_x
_atom_site_fract_y
_atom_site_fract_z
Pa1 0.000 0.000 0.000
Tl1 0.250 0.250 0.250
Cd1 0.250 0.250 0.750
```

No. 10
Entry from OQMD via LeMat-Bulk: an optimized crystal structure of SrRePO (PBE-GGA).

Results
Energy relative to the lowest polymorph listed for this composition: 0 meV/atom

CIF file:
```
data_SrRePO
_chemical_formula_sum 'Sr2 Re2 P2 O2'
_cell_length_a 4.045
_cell_length_b 4.045
_cell_length_c 9.429
_cell_angle_alpha 90.00
_cell_angle_beta 90.00
_cell_angle_gamma 90.00
_symmetry_space_group_name_H-M 'P 4/n m m'
_symmetry_Int_Tables_number 129
loop_
_symmetry_equiv_pos_as_xyz
'x,y,z'
'-x,-y,-z'
'-y+1/2,x,z'
'y+1/2,-x,-z'
'-x+1/2,-y+1/2,z'
'x+1/2,y+1/2,-z'
'y,-x+1/2,z'
'-y,x+1/2,-z'
'x+1/2,-y,-z'
'-x+1/2,y,z'
'-y,-x,-z'
'y,x,z'
'-x,y+1/2,-z'
'x,-y+1/2,z'
'y+1/2,x+1/2,-z'
'-y+1/2,-x+1/2,z'
loop_
_atom_site_label
_atom_site_fract_x
_atom_site_fract_y
_atom_site_fract_z
Sr1 0.250 0.250 0.129
Re1 0.250 0.750 0.500
P1 0.250 0.250 0.635
O1 0.250 0.750 0.000
```

No. 11
Entry from OQMD via LeMat-Bulk: an optimized crystal structure of TePtPbO (PBE-GGA).

Results
Energy relative to the lowest polymorph listed for this composition: 120 meV/atom

CIF file:
```
data_TePtPbO
_chemical_formula_sum 'Te2 Pt2 Pb2 O2'
_cell_length_a 3.798
_cell_length_b 3.798
_cell_length_c 12.592
_cell_angle_alpha 90.00
_cell_angle_beta 90.00
_cell_angle_gamma 90.00
_symmetry_space_group_name_H-M 'P 4/n m m'
_symmetry_Int_Tables_number 129
loop_
_symmetry_equiv_pos_as_xyz
'x,y,z'
'-x,-y,-z'
'-y+1/2,x,z'
'y+1/2,-x,-z'
'-x+1/2,-y+1/2,z'
'x+1/2,y+1/2,-z'
'y,-x+1/2,z'
'-y,x+1/2,-z'
'x+1/2,-y,-z'
'-x+1/2,y,z'
'-y,-x,-z'
'y,x,z'
'-x,y+1/2,-z'
'x,-y+1/2,z'
'y+1/2,x+1/2,-z'
'-y+1/2,-x+1/2,z'
loop_
_atom_site_label
_atom_site_fract_x
_atom_site_fract_y
_atom_site_fract_z
Te1 0.250 0.250 0.154
Pt1 0.250 0.750 0.000
Pb1 0.250 0.250 0.603
O1 0.250 0.250 0.427
```

No. 12
Entry from OQMD via LeMat-Bulk: an optimized crystal structure of TlSbTe3Pd (PBE-GGA).

CIF file:
```
data_TlSbTe3Pd
_chemical_formula_sum 'Tl2 Sb2 Te6 Pd2'
_cell_length_a 8.665
_cell_length_b 4.195
_cell_length_c 11.128
_cell_angle_alpha 90.00
_cell_angle_beta 111.57
_cell_angle_gamma 90.00
_symmetry_space_group_name_H-M 'P 1 21/m 1'
_symmetry_Int_Tables_number 11
_symmetry_space_group_name_Hall '-P 2yb'
loop_
_atom_site_label
_atom_site_fract_x
_atom_site_fract_y
_atom_site_fract_z
Tl1 0.210 0.250 0.193
Sb1 0.205 0.750 0.657
Te1 0.063 0.750 0.364
Te2 0.272 0.750 0.967
Te3 0.471 0.250 0.667
Pd1 0.406 0.250 0.889
```

no.,DFT total energy (eV per atom)
1,-2.965
2,-6.506
3,-5.275
4,-5.170
5,-6.456
6,-4.586
7,-10.434
8,-3.761
9,-3.578
10,-7.168
11,-4.968
12,-3.664